(1)
DFT (GGA-PBE) results for a relaxed structure of YMgTe.

Its total magnetization is 0.85 μB per formula unit. The value obtained for the final energy is -26.0 eV/cell.

The space group is I4mm (No. 107) and the conventional cell measures 3.8165, 3.8165 and 11.0927 Å, with angles of 90.00, 90.00 and 90.00 degrees. Symmetry generates all atoms from Y at (0.0000, 0.0000, 0.0000), Mg at (0.0000, 0.0000, 0.3146) and Te at (0.0000, 0.0000, 0.6585).


(2)
DFT (GGA-PBE) results for a relaxed structure of Be2HgH.

Its total magnetization is 0.00 μB per formula unit. The value obtained for the final energy is -30.9 eV/cell.

The space group is Fm-3m (No. 225) and the conventional cell measures 5.6816, 5.6816 and 5.6816 Å, with angles of 90.00, 90.00 and 90.00 degrees. Symmetry generates all atoms from Be at (0.2500, 0.2500, 0.2500), Hg at (0.0000, 0.0000, 0.0000) and H at (0.0000, 0.0000, 0.5000).


(3)
DFT (GGA-PBE) results for a relaxed structure of Mn3OsRh12.

Its total magnetization is 8.19 μB per formula unit. The value obtained for the final energy is -128.3 eV/cell. For the formation energy, the calculation gives -0.085 eV per atom.

The space group is P4/mmm (No. 123) and the conventional cell measures 3.8205, 3.8205 and 15.2951 Å, with angles of 90.00, 90.00 and 90.00 degrees. Symmetry generates all atoms from Mn at (0.0000, 0.0000, 0.0000), Mn at (0.0000, 0.0000, 0.2453), Os at (0.0000, 0.0000, 0.5000), Rh at (0.0000, 0.5000, 0.1235), Rh at (0.0000, 0.5000, 0.3761), Rh at (0.5000, 0.5000, 0.0000), Rh at (0.5000, 0.5000, 0.2500) and Rh at (0.5000, 0.5000, 0.5000).


(4)
DFT (GGA-PBE) results for a relaxed structure of Sm5In2Ir.

Its total magnetization is 0.00 μB per formula unit. The value obtained for the final energy is -83.6 eV/cell. For the formation energy, the calculation gives -0.486 eV per atom.

The space group is Pbam (No. 55) and the conventional cell measures 7.7185, 12.4664 and 4.8359 Å, with angles of 90.00, 90.00 and 90.00 degrees. Symmetry generates all atoms from Sm at (0.0000, 0.0000, 0.0000), Sm at (0.1340, 0.2943, 0.0000), Sm at (0.1823, 0.5738, 0.5000), In at (0.0809, 0.8335, 0.5000) and Ir at (0.0000, 0.5000, 0.0000).


(5)
DFT (GGA-PBE) results for a relaxed structure of ErTmPt.

Its total magnetization is 0.00 μB per formula unit. The value obtained for the final energy is -71.3 eV/cell. For the formation energy, the calculation gives -0.919 eV per atom.

The space group is F-43m (No. 216) and the conventional cell measures 6.7953, 6.7953 and 6.7953 Å, with angles of 90.00, 90.00 and 90.00 degrees. Symmetry generates all atoms from Er at (0.0000, 0.0000, 0.0000), Tm at (0.0000, 0.0000, 0.5000) and Pt at (0.2500, 0.2500, 0.7500).


(6)
DFT (GGA-PBE) results for a relaxed structure of IrPdRh2.

Its total magnetization is 0.23 μB per formula unit. The value obtained for the final energy is -28.3 eV/cell. For the formation energy, the calculation gives 0.116 eV per atom.

The space group is P4/mmm (No. 123) and the conventional cell measures 3.8738, 3.8738 and 3.8722 Å, with angles of 90.00, 90.00 and 90.00 degrees. Symmetry generates all atoms from Ir at (0.0000, 0.0000, 0.0000), Pd at (0.5000, 0.5000, 0.0000) and Rh at (0.0000, 0.5000, 0.5000).


(7)
DFT (GGA-PBE) results for a relaxed structure of Ac2PrHoS4.

Its total magnetization is 0.00 μB per formula unit. The value obtained for the final energy is -50.0 eV/cell.

The space group is P2/m (No. 10) and the conventional cell measures 7.1456, 4.0813 and 7.3235 Å, with angles of 90.00, 108.63 and 90.00 degrees. Symmetry generates all atoms from Ac at (0.0000, 0.0000, 0.0000), Ac at (0.5000, 0.5000, 0.0000), Pr at (0.0000, 0.5000, 0.5000), Ho at (0.5000, 0.0000, 0.5000), S at (0.2536, 0.0000, 0.7298) and S at (0.2693, 0.5000, 0.2772).


(8)
DFT (GGA-PBE) results for a relaxed structure of Na2Cu3Sb2.

Its total magnetization is 0.00 μB per formula unit. The value obtained for the final energy is -47.3 eV/cell.

The space group is C2/m (No. 12) and the conventional cell measures 11.2033, 4.2903 and 6.8489 Å, with angles of 90.00, 119.19 and 90.00 degrees. Symmetry generates all atoms from Na at (0.1471, 0.0000, 0.2676), Cu at (0.0000, 0.5000, 0.5000), Cu at (0.0839, 0.5000, 0.9238) and Sb at (0.1428, 0.0000, 0.7517).


(9)
DFT (GGA-PBE) results for a relaxed structure of EuZnRh.

Its total magnetization is 6.78 μB per formula unit. The value obtained for the final energy is -20.2 eV/cell. For the formation energy, the calculation gives -0.422 eV per atom.

The space group is P-6m2 (No. 187) and the conventional cell measures 4.3507, 4.3507 and 3.9689 Å, with angles of 90.00, 90.00 and 120.00 degrees. Symmetry generates all atoms from Eu at (0.0000, 0.0000, 0.0000), Zn at (0.3333, 0.6667, 0.5000) and Rh at (0.6667, 0.3333, 0.5000).


(10)
DFT (GGA-PBE) results for a relaxed structure of Sn2OsPdPb.

Its total magnetization is 2.31 μB per formula unit. The value obtained for the final energy is -23.5 eV/cell. For the formation energy, the calculation gives 0.924 eV per atom.

The space group is P4/mmm (No. 123) and the conventional cell measures 4.9602, 4.9602 and 5.4934 Å, with angles of 90.00, 90.00 and 90.00 degrees. Symmetry generates all atoms from Sn at (0.0000, 0.5000, 0.0000), Os at (0.0000, 0.0000, 0.5000), Pd at (0.0000, 0.0000, 0.0000) and Pb at (0.5000, 0.5000, 0.5000).


(11)
DFT (GGA-PBE) results for a relaxed structure of ZrMo3.

Its total magnetization is 0.00 μB per formula unit. The value obtained for the final energy is -122.7 eV/cell. For the formation energy, the calculation gives 0.032 eV per atom.

The space group is R-3m (No. 166, hexagonal axes) and the conventional cell measures 9.1136, 9.1136 and 2.8419 Å, with angles of 90.00, 90.00 and 120.00 degrees. Symmetry generates all atoms from Zr at (0.0000, 0.0000, 0.0000) and Mo at (0.0000, 0.5000, 0.0000).


(12)
DFT (GGA-PBE) results for a relaxed structure of NaMgCo2.

Its total magnetization is 3.00 μB per formula unit. The value obtained for the final energy is -56.4 eV/cell. For the formation energy, the calculation gives 0.759 eV per atom.

The space group is I-42d (No. 122) and the conventional cell measures 3.8802, 3.8802 and 18.8893 Å, with angles of 90.00, 90.00 and 90.00 degrees. Symmetry generates all atoms from Na at (0.0000, 0.0000, 0.0000), Mg at (0.0000, 0.0000, 0.5000) and Co at (0.1588, 0.2500, 0.6250).


(13)
DFT (GGA-PBE) results for a relaxed structure of CsHg2Bi3.

Its total magnetization is 0.00 μB per formula unit. The value obtained for the final energy is -55.2 eV/cell. For the formation energy, the calculation gives -0.116 eV per atom.

The space group is C2/m (No. 12) and the conventional cell measures 11.9033, 8.8666 and 9.1231 Å, with angles of 90.00, 96.84 and 90.00 degrees. Symmetry generates all atoms from Cs at (0.1735, 0.0000, 0.3287), Hg at (0.0000, 0.2888, 0.0000), Hg at (0.0000, 0.3144, 0.5000), Bi at (0.1186, 0.5000, 0.2541) and Bi at (0.1417, 0.1722, 0.7663).


(14)
DFT (GGA-PBE) results for a relaxed structure of HfTaNbI2.

Its total magnetization is 0.58 μB per formula unit. The value obtained for the final energy is -27.7 eV/cell.

The space group is P4/mmm (No. 123) and the conventional cell measures 5.3582, 5.3582 and 5.0157 Å, with angles of 90.00, 90.00 and 90.00 degrees. Symmetry generates all atoms from Hf at (0.0000, 0.0000, 0.0000), Ta at (0.5000, 0.5000, 0.0000), Nb at (0.5000, 0.5000, 0.5000) and I at (0.0000, 0.5000, 0.5000).


(15)
DFT (GGA-PBE) results for a relaxed structure of PmNd6Mg.

Its total magnetization is 0.00 μB per formula unit. The value obtained for the final energy is -102.7 eV/cell. For the formation energy, the calculation gives 0.092 eV per atom.

The space group is R-3 (No. 148, hexagonal axes) and the conventional cell measures 9.7690, 9.7690 and 9.8438 Å, with angles of 90.00, 90.00 and 120.00 degrees. Symmetry generates all atoms from Pm at (0.0000, 0.0000, 0.0000), Nd at (0.0215, 0.7502, 0.7151) and Mg at (0.0000, 0.0000, 0.5000).


(16)
DFT (GGA-PBE) results for a relaxed structure of SrY2Hf2.

Its total magnetization is 0.00 μB per formula unit. The value obtained for the final energy is -66.3 eV/cell. For the formation energy, the calculation gives 0.277 eV per atom.

The space group is P4/mbm (No. 127) and the conventional cell measures 9.3843, 9.3843 and 3.4760 Å, with angles of 90.00, 90.00 and 90.00 degrees. Symmetry generates all atoms from Sr at (0.0000, 0.0000, 0.0000), Y at (0.1762, 0.3238, 0.5000) and Hf at (0.1107, 0.6107, 0.0000).


(17)
DFT (GGA-PBE) results for a relaxed structure of Sr2CaP3Pd12.

Its total magnetization is 0.00 μB per formula unit. The value obtained for the final energy is -273.8 eV/cell. For the formation energy, the calculation gives -0.408 eV per atom.

The space group is R-3m (No. 166, hexagonal axes) and the conventional cell measures 8.8606, 8.8606 and 15.4396 Å, with angles of 90.00, 90.00 and 120.00 degrees. Symmetry generates all atoms from Sr at (0.0000, 0.0000, 0.1048), Ca at (0.0000, 0.0000, 0.5000), P at (0.0000, 0.5000, 0.0000), Pd at (0.0164, 0.5082, 0.8550) and Pd at (0.0614, 0.5307, 0.3384).


(18)
DFT (GGA-PBE) results for a relaxed structure of InSnOs2.

Its total magnetization is 0.00 μB per formula unit. The value obtained for the final energy is -99.4 eV/cell. For the formation energy, the calculation gives 1.087 eV per atom.

The space group is I-42d (No. 122) and the conventional cell measures 7.5423, 7.5423 and 5.4273 Å, with angles of 90.00, 90.00 and 90.00 degrees. Symmetry generates all atoms from In at (0.0000, 0.0000, 0.0000), Sn at (0.0000, 0.0000, 0.5000) and Os at (0.2433, 0.2500, 0.6250).


(19)
DFT (GGA-PBE) results for a relaxed structure of CdInRh.

Its total magnetization is 0.00 μB per formula unit. The value obtained for the final energy is -68.9 eV/cell. For the formation energy, the calculation gives -0.160 eV per atom.

The space group is R-3m (No. 166, hexagonal axes) and the conventional cell measures 4.4903, 4.4903 and 22.2773 Å, with angles of 90.00, 90.00 and 120.00 degrees. Symmetry generates all atoms from Cd at (0.0000, 0.0000, 0.1283), In at (0.0000, 0.0000, 0.3767) and Rh at (0.0000, 0.0000, 0.2540).


(20)
DFT (GGA-PBE) results for a relaxed structure of Li6TlHg.

Its total magnetization is 0.00 μB per formula unit. The value obtained for the final energy is -16.1 eV/cell. For the formation energy, the calculation gives -0.238 eV per atom.

The space group is P-6m2 (No. 187) and the conventional cell measures 5.9129, 5.9129 and 4.8764 Å, with angles of 90.00, 90.00 and 120.00 degrees. Symmetry generates all atoms from Li at (0.0062, 0.5031, 0.0000), Li at (0.3266, 0.1633, 0.5000), Tl at (0.0000, 0.0000, 0.0000) and Hg at (0.3333, 0.6667, 0.5000).


(21)
DFT (GGA-PBE) results for a relaxed structure of Ga2PdF.

Its total magnetization is 0.00 μB per formula unit. The value obtained for the final energy is -64.1 eV/cell.

The space group is I-42d (No. 122) and the conventional cell measures 5.4937, 5.4937 and 11.1210 Å, with angles of 90.00, 90.00 and 90.00 degrees. Symmetry generates all atoms from Ga at (0.2365, 0.2500, 0.1250), Pd at (0.0000, 0.0000, 0.5000) and F at (0.0000, 0.0000, 0.0000).


(22)
DFT (GGA-PBE) results for a relaxed structure of Li4ZnPb3.

Its total magnetization is 0.00 μB per formula unit. The value obtained for the final energy is -21.8 eV/cell. For the formation energy, the calculation gives -0.216 eV per atom.

The space group is P4/mmm (No. 123) and the conventional cell measures 3.6035, 3.6035 and 12.9127 Å, with angles of 90.00, 90.00 and 90.00 degrees. Symmetry generates all atoms from Li at (0.0000, 0.0000, 0.1086), Li at (0.0000, 0.0000, 0.3684), Zn at (0.5000, 0.5000, 0.0000), Pb at (0.5000, 0.5000, 0.2332) and Pb at (0.5000, 0.5000, 0.5000).


(23)
DFT (GGA-PBE) results for a relaxed structure of HfAuSN2.

Its total magnetization is 1.71 μB per formula unit. The value obtained for the final energy is -31.5 eV/cell.

The space group is P4/mmm (No. 123) and the conventional cell measures 4.0951, 4.0951 and 5.3255 Å, with angles of 90.00, 90.00 and 90.00 degrees. Symmetry generates all atoms from Hf at (0.0000, 0.0000, 0.0000), Au at (0.5000, 0.5000, 0.5000), S at (0.0000, 0.0000, 0.5000) and N at (0.0000, 0.5000, 0.0000).


(24)
DFT (GGA-PBE) results for a relaxed structure of Tb3Dy4Y2.

Its total magnetization is 0.00 μB per formula unit. The value obtained for the final energy is -90.1 eV/cell. For the formation energy, the calculation gives 0.018 eV per atom.

The space group is C2/m (No. 12) and the conventional cell measures 15.0904, 5.0232 and 7.9530 Å, with angles of 90.00, 108.39 and 90.00 degrees. Symmetry generates all atoms from Tb at (0.0000, 0.0000, 0.0000), Tb at (0.2219, 0.0000, 0.3326), Dy at (0.0558, 0.5000, 0.3327), Dy at (0.1666, 0.5000, 0.0002) and Y at (0.1113, 0.0000, 0.6671).


(25)
DFT (GGA-PBE) results for a relaxed structure of SrAcBN2.

Its total magnetization is 0.00 μB per formula unit. The value obtained for the final energy is -135.2 eV/cell.

The space group is Cmme (No. 67) and the conventional cell measures 8.1337, 12.3670 and 5.3746 Å, with angles of 90.00, 90.00 and 90.00 degrees. Symmetry generates all atoms from Sr at (0.0000, 0.2500, 0.1282), Ac at (0.2500, 0.0000, 0.5000), B at (0.0000, 0.0000, 0.0000) and N at (0.0000, 0.0480, 0.2248).